# 1
Compound: Li2ErCrS4
Source: Alexandria via LeMat-Bulk
Functional: PBE
Structure: optimized geometry

**M_tot**: 0.375 μB per atom
**Uncorrected formation energy**: -1372 meV per atom

Unit cell a=3.7083 b=6.4624 c=6.3374 alpha=70.93 beta=90.00 gamma=90.00
Last column: nearest neighbours and their distance in Å.
Fractional positions:
S (0.5000, 0.7298, 0.2824)  2 Cr 2.49, 3 Li 2.55-2.77, 1 Er 2.67
S (0.5000, 0.2702, 0.7176)  2 Cr 2.49, 3 Li 2.55-2.77, 1 Er 2.67
S (0.0000, 0.2543, 0.2693)  1 Cr 2.49, 3 Li 2.59-2.73, 2 Er 2.66
S (0.0000, 0.7457, 0.7307)  1 Cr 2.49, 3 Li 2.59-2.73, 2 Er 2.66
Li (0.0000, 0.0000, 0.0000)  6 S 2.73-2.77
Li (0.5000, 0.0000, 0.5000)  6 S 2.55-2.59
Er (0.5000, 0.5000, 0.0000)  6 S 2.66-2.67
Cr (0.0000, 0.5000, 0.5000)  6 S 2.49

***

# 2
Compound: Ni3C2
Source: Alexandria via LeMat-Bulk
Functional: PBE
Structure: optimized geometry

**Energy of formation**: 301 kJ/mol of formula units
**M_tot**: 0.000 μB per atom

Unit cell a=6.4438 b=6.4438 c=6.4438 alpha=26.12 beta=26.12 gamma=26.12
Last column: nearest neighbours and their distance in Å.
Fractional positions:
C (0.3994, 0.3994, 0.3994)  6 Ni 1.89-2.08
C (0.6006, 0.6006, 0.6006)  6 Ni 1.89-2.08
Ni (0.0000, 0.0000, 0.0000)  6 C 2.08
Ni (0.7793, 0.7793, 0.7793)  3 C 1.89
Ni (0.2207, 0.2207, 0.2207)  3 C 1.89

***

# 3
Compound: MgCd2In6
Source: Alexandria via LeMat-Bulk
Functional: PBE
Structure: optimized geometry

**Energy of formation**: 42 kJ/mol of formula units
**M_tot**: 0.000 μB per atom
**Polymorph energy (0 for the lowest one)**: 57.0 meV/atom

Unit cell a=3.5797 b=8.7638 c=8.7638 alpha=120.00 beta=90.00 gamma=90.00
Last column: nearest neighbours and their distance in Å.
Fractional positions:
Cd (0.5000, 0.3333, 0.6667)  6 In 3.06
Cd (0.5000, 0.6667, 0.3333)  6 In 3.06
In (0.2416, 0.0000, 0.3354)  2 Cd 3.06, 1 Mg 3.06, 3 In 3.36-3.41
In (0.7584, 0.3354, 0.3354)  2 Cd 3.06, 1 Mg 3.06, 3 In 3.36-3.41
In (0.2416, 0.3354, 0.0000)  2 Cd 3.06, 1 Mg 3.06, 3 In 3.36-3.41
In (0.7584, 0.0000, 0.6646)  2 Cd 3.06, 1 Mg 3.06, 3 In 3.36-3.41
In (0.2416, 0.6646, 0.6646)  2 Cd 3.06, 1 Mg 3.06, 3 In 3.36-3.41
In (0.7584, 0.6646, 0.0000)  2 Cd 3.06, 1 Mg 3.06, 3 In 3.36-3.41
Mg (0.0000, 0.0000, 0.0000)  6 In 3.06